# 1
Entry from Alexandria via LeMat-Bulk: a relaxed structure of LaTb4Ho (PBE).

Lattice parameters (Å, degrees): 6.631 6.631 6.631 60.00 60.00 60.00
Atoms (fractional coordinates):
La  0.000  0.000  0.000
Tb  0.127  0.624  0.624
Tb  0.624  0.127  0.624
Tb  0.624  0.624  0.127
Tb  0.624  0.624  0.624
Ho  0.250  0.250  0.250

Output
As for the total magnetic moment: 0.3 μB/f.u. Its formation energy is 154 kJ/mol of formula units.



# 2
Entry from Alexandria via LeMat-Bulk: a relaxed structure of NbVFe4 (PBE).

Lattice parameters (Å, degrees): 6.037 3.878 6.576 90.00 90.00 90.00
Atoms (fractional coordinates):
Nb  0.250  0.000  0.143
Nb  0.750  0.000  0.857
V  0.250  0.000  0.755
V  0.750  0.000  0.245
Fe  0.000  0.000  0.500
Fe  0.033  0.500  0.819
Fe  0.250  0.500  0.463
Fe  0.467  0.500  0.819
Fe  0.500  0.000  0.500
Fe  0.533  0.500  0.181
Fe  0.750  0.500  0.537
Fe  0.967  0.500  0.181

Output
As for the total magnetic moment: 5.3 μB/f.u. Its formation energy is 73 kJ/mol of formula units.



# 3
Entry from Alexandria via LeMat-Bulk: a relaxed structure of LiDyH3 (PBE).

Lattice parameters (Å, degrees): 3.566 3.566 3.566 90.00 90.00 90.00
Atoms (fractional coordinates):
Li  0.000  0.000  0.000
Dy  0.500  0.500  0.500
H  0.000  0.000  0.500
H  0.000  0.500  0.000
H  0.500  0.000  0.000

Output
As for the total magnetic moment: 0.0 μB/f.u. Its total energy is -3.702 eV/atom.



# 4
Entry from Alexandria via LeMat-Bulk: a relaxed structure of Dy5Al2Pb (PBE).

Lattice parameters (Å, degrees): 8.932 8.932 8.932 126.89 126.89 78.44
Atoms (fractional coordinates):
Dy  0.000  0.000  0.000
Dy  0.018  0.518  0.827
Dy  0.191  0.018  0.500
Dy  0.309  0.809  0.827
Dy  0.482  0.309  0.500
Dy  0.500  0.500  0.000
Dy  0.518  0.691  0.500
Dy  0.691  0.191  0.173
Dy  0.809  0.982  0.500
Dy  0.982  0.482  0.173
Al  0.126  0.374  0.500
Al  0.374  0.874  0.248
Al  0.626  0.126  0.752
Al  0.874  0.626  0.500
Pb  0.250  0.250  0.000
Pb  0.750  0.750  0.000

Output
As for the total magnetic moment: 0.0 μB/f.u. Its formation energy is -295 kJ/mol of formula units.



# 5
Entry from Alexandria via LeMat-Bulk: a relaxed structure of AcMg2Ni6 (PBE).

Lattice parameters (Å, degrees): 6.821 6.821 6.821 146.16 115.98 74.42
Atoms (fractional coordinates):
Ac  0.000  0.000  0.000
Mg  0.360  0.860  0.500
Mg  0.640  0.140  0.500
Ni  0.062  0.300  0.763
Ni  0.340  0.500  0.840
Ni  0.463  0.700  0.763
Ni  0.537  0.300  0.237
Ni  0.660  0.500  0.160
Ni  0.938  0.700  0.237

Output
As for the total magnetic moment: 0.0 μB/f.u. Its formation energy is 25 kJ/mol of formula units.



# 6
Entry from Alexandria via LeMat-Bulk: a relaxed structure of Na2TlW (PBE).

Lattice parameters (Å, degrees): 5.123 5.123 5.123 60.00 60.00 60.00
Atoms (fractional coordinates):
Na  0.250  0.250  0.250
Na  0.750  0.750  0.750
Tl  0.000  0.000  0.000
W  0.500  0.500  0.500

Output
As for the total magnetic moment: 3.3 μB/f.u. Its formation energy is 478 kJ/mol of formula units.



# 7
Entry from Alexandria via LeMat-Bulk: a relaxed structure of SrTe2PbN (PBE).

Lattice parameters (Å, degrees): 6.221 6.221 4.798 90.00 90.00 90.00
Atoms (fractional coordinates):
Sr  0.000  0.000  0.000
Te  0.000  0.500  0.000
Te  0.500  0.000  0.000
Pb  0.500  0.500  0.500
N  0.000  0.000  0.500

Output
Its uncorrected formation energy is 0.48 eV per atom. As for the total magnetic moment: 2.5 μB/f.u.



# 8
Entry from Alexandria via LeMat-Bulk: a relaxed structure of ScTl2Cu3F12 (PBE).

Lattice parameters (Å, degrees): 7.448 7.448 7.448 59.06 59.06 59.06
Atoms (fractional coordinates):
Sc  0.000  0.000  0.000
Tl  0.395  0.395  0.395
Tl  0.605  0.605  0.605
Cu  0.000  0.000  0.500
Cu  0.000  0.500  0.000
Cu  0.500  0.000  0.000
F  0.074  0.074  0.672
F  0.074  0.672  0.074
F  0.080  0.681  0.681
F  0.319  0.319  0.920
F  0.319  0.920  0.319
F  0.328  0.926  0.926
F  0.672  0.074  0.074
F  0.681  0.080  0.681
F  0.681  0.681  0.080
F  0.920  0.319  0.319
F  0.926  0.328  0.926
F  0.926  0.926  0.328

Output
Its uncorrected formation energy is -2.12 eV per atom. As for the total magnetic moment: 4.0 μB/f.u.